VASP calculation (PBE) on SrCu2Ni2 after structural relaxation.

Cell: 4.133 4.133 5.731 Å, 68.86 68.86 90.00°
Fractional coordinates of all 5 atoms:
Ni: 0.750 0.250 0.500
Cu: 0.625 0.625 0.751
Ni: 0.250 0.750 0.500
Cu: 0.375 0.375 0.249
Sr: 0.000 0.000 0.000

total DFT energy (no corrections) = -21.03 eV per cell
crystal system = tetragonal
distance to the lowest polymorph of the same formula = 0.017 eV/f.u.
energy relative to the elements = 0.082 eV/atom